[1]
This record from Alexandria via LeMat-Bulk describes a relaxed MnBe2Rh crystal. The functional is PBE.

```
MnBe2Rh
1.0
-1.7288 2.2573 -2.1109
-2.3126 -1.5617 0.2240
-2.3578 1.4868 3.5208
Be Mn Rh
2 1 1
Cartesian
-2.7649 1.1454 3.4892
-1.6202 1.4433 -0.1000
-2.1044 -0.1025 1.6138
-4.6025 1.1456 2.0240
```

ΔE to the lowest computed polymorph   84.1 meV per atom
Mass density   6.90 Mg/m³
ΔE_f   -0.337 eV per atom
Space group   No. 38

[2]
This record from Alexandria via LeMat-Bulk describes a relaxed ScRhNO2 crystal. The functional is PBE.

```
ScRhNO2
1.0
3.9799 0.0000 0.0000
0.0000 3.9799 0.0000
0.0000 0.0000 4.2500
Sc Rh O N
1 1 2 1
Cartesian
0.0000 0.0000 0.0000
1.9899 1.9899 2.1250
0.0000 1.9899 0.0000
1.9899 0.0000 0.0000
0.0000 0.0000 2.1250
```

Raw formation energy   -0.1488 eV per atom
Mass density   4.78 Mg/m³
Space group   No. 123

[3]
This record from Alexandria via LeMat-Bulk describes a relaxed Ce3NdNi8 crystal. The functional is PBE.

```
Ce3NdNi8
1.0
-3.8267 -3.3218 0.6544
-2.1696 -2.2287 -4.0536
3.5038 -8.0932 -0.6458
Ce Nd Ni
3 1 8
Cartesian
0.8602 -9.2117 -1.8360
3.4446 -8.0260 -0.6511
-1.1649 -6.9141 -2.0153
-3.9682 -7.8515 -3.2196
-3.8821 -5.5928 -1.2875
-1.3013 -9.1074 -3.9565
-1.9809 -3.9425 -1.6126
-3.2115 -10.7656 -3.6299
0.4085 -4.5814 -0.9199
-0.8419 -11.3985 -2.9428
-3.0588 -5.0497 -3.6265
-2.1285 -9.6531 -1.6064
```

ΔE to the lowest computed polymorph   0.0 meV per atom
Mass density   9.11 Mg/m³
ΔE_f   -0.352 eV per atom
Space group   No. 160

[4]
This record from Alexandria via LeMat-Bulk describes a relaxed Cd2RuPt crystal. The functional is PBE.

```
Cd2RuPt
1.0
-2.3858 2.4549 2.2125
-1.6318 0.4659 -2.2765
-5.0484 -4.2176 -0.7642
Cd Pt Ru
2 1 1
Cartesian
-4.9913 -4.1379 -0.7910
-2.9091 0.2252 0.3677
-3.3833 -1.9359 -1.5003
-6.1707 -1.5415 -1.1890
```

Mass density   12.48 Mg/m³
ΔE_f   0.122 eV per atom
Space group   No. 6